Entry 1:
8
Lattice="5.1731 0.0141 2.6601 2.5701 8.3691 1.3234 -1.2382 0.0086 8.7680" Properties=species:S:1:pos:R:3 comment="UI2Br5, optimized geometry, DFT PBE" space_group=I4mm e_tot_ha_per_atom=-0.1355 pbc="T T T"
Br 6.3518 8.3828 6.2346
U 6.3212 8.3913 12.6568
Br 2.3906 5.7302 1.2310
I 1.7966 4.1916 5.6271
Br 4.9821 2.6520 2.5626
Br -0.2168 0.0090 6.3263
I 4.3833 4.1987 6.9572
Br 3.7350 8.3840 11.3267

---

Entry 2:
20
Lattice="-8.0828 6.9478 1.4429 -3.6085 -5.2811 -8.6473 -2.3256 -7.1766 7.6665" Properties=species:S:1:pos:R:3 comment="UI3Br6, optimized geometry, DFT PBE" space_group=R-3m e_tot_ha_per_atom=-0.1217 pbc="T T T"
Br -5.8231 -1.4102 2.1856
Br -5.2887 -9.9112 -0.7358
I -11.5952 -1.8294 -2.9242
Br -8.7498 -0.4515 7.0697
Br -4.2747 -6.5247 6.0120
U -7.0085 -2.7549 0.2310
I -11.0362 -2.6555 4.1830
Br -8.7282 4.4014 1.1978
Br -9.7422 1.0149 -5.5499
Br -5.2671 -5.0583 -6.6076
Br -4.8053 -4.1917 -0.1089
Br -8.1938 -4.0996 -1.7235
I -9.0870 -7.9830 -0.2131
Br -7.9022 -4.5303 1.9868
Br -9.2116 -1.3181 0.5710
U 0.0000 0.0000 0.0000
I -2.4217 -3.6803 3.3863
I -2.9807 -2.8543 -3.7209
Br -6.1147 -0.9795 -1.5248
I -4.9299 2.4732 0.6752

---

Entry 3:
7
Lattice="5.5266 0.0000 0.0000 0.0000 5.5266 0.0000 2.7633 2.7633 13.2379" Properties=species:S:1:pos:R:3 comment="UI2Br4, optimized geometry, DFT PBE" space_group=I4/mmm e_tot_ha_per_atom=-0.1355 pbc="T T T"
U 0.0000 0.0000 0.0000
I 2.7633 2.7633 6.5935
Br 2.7633 0.0000 0.0000
Br 5.5266 5.5266 2.6396
I 5.5266 5.5266 6.6444
Br 0.0000 2.7633 0.0000
Br 2.7633 2.7633 10.5983

---

Entry 4:
8
Lattice="8.7165 -0.3163 1.4631 -1.9140 6.1955 3.5501 0.3017 -0.0388 7.3864" Properties=species:S:1:pos:R:3 comment="UIBr6, optimized geometry, DFT PBE" space_group=C2/m e_tot_ha_per_atom=-0.1385 pbc="T T T"
Br 4.1201 5.3938 4.8910
Br 5.1172 3.5303 8.2474
Br 1.9870 2.3101 4.1521
Br 2.9841 0.4466 7.5086
Br 1.5112 4.1272 7.3798
U 3.5521 2.9202 6.1998
I 0.0000 0.0000 0.0000
Br 5.5930 1.7133 5.0197

---

Entry 5:
3
Lattice="-3.4239 -1.4062 0.3692 1.4421 -2.3490 4.4272 -1.9686 4.8275 0.1310" Properties=species:S:1:pos:R:3 comment="UIBr, optimized geometry, DFT PBE" space_group=P-6m2 relative_energy_mev_per_atom=233.3 pbc="T T T"
U -0.5701 -0.2341 0.0615
I -1.9779 -0.8945 3.2413
Br -1.4025 2.2009 1.6246

---

Entry 6:
10
Lattice="1.3205 -8.3556 2.1729 -2.5244 2.0364 -8.1094 7.9415 3.4363 1.1854" Properties=species:S:1:pos:R:3 comment="UI3Br, optimized geometry, DFT PBE" space_group=Imma relative_energy_mev_per_atom=4.0 pbc="T T T"
U -1.2994 0.8174 -4.2425
I 4.5183 -0.4413 -4.0818
I 0.2208 2.3544 -6.1863
I 2.1427 -2.8413 -1.0454
I 2.1519 -6.9292 0.0787
U 8.5627 -0.9413 2.0833
Br -0.0404 -1.5912 -5.1613
I 4.5098 3.6476 -5.2045
I 5.1207 2.7179 -1.1133
Br 6.7017 -1.6928 0.0333

---

Entry 7:
10
Lattice="-5.2640 -4.3090 2.4507 3.6408 -0.5173 6.2381 -4.1932 6.8365 3.0140" Properties=species:S:1:pos:R:3 comment="UIBr3, optimized geometry, DFT PBE" space_group=P2_1/m relative_energy_mev_per_atom=3.3 pbc="T T T"
Br -1.6526 3.4522 3.3229
U -0.7494 -3.5113 8.1976
Br -0.3184 -2.2330 5.8977
Br -3.7964 -0.5890 3.4176
I 0.4042 -0.0806 2.0206
Br -5.8934 2.8300 4.9248
Br -3.4385 -2.5006 8.2537
I -2.3752 1.3000 7.2001
U -2.8447 -0.0956 9.7120
Br -5.5347 0.9169 9.7605

---

Entry 8:
20
Lattice="7.0994 0.0000 0.0000 0.0000 8.7226 0.0000 0.0000 0.0000 14.4372" Properties=species:S:1:pos:R:3 comment="UIBr3, optimized geometry, DFT PBE" space_group=Pnma relative_energy_mev_per_atom=0.0 pbc="T T T"
Br 1.7254 8.6626 5.1798
Br 1.8243 4.3013 12.3984
U 0.0000 0.0000 7.2186
Br 5.6387 6.5419 6.0469
I 1.9017 2.1806 1.4464
Br 5.2751 8.6626 2.0388
I 5.1977 6.5419 12.9908
U 3.5497 0.0000 0.0000
Br 1.7254 4.4213 5.1798
I 5.4514 2.1806 5.7722
Br 2.0890 6.5419 1.1717
Br 5.0105 2.1806 13.2655
U 0.0000 4.3613 7.2186
Br 5.2751 4.4213 2.0388
Br 5.3740 4.3013 9.2574
Br 1.4608 2.1806 8.3903
I 1.6480 6.5419 8.6650
Br 1.8243 0.0600 12.3984
U 3.5497 4.3613 0.0000
Br 5.3740 0.0600 9.2574

---

Record order is preserved below.
Density: 3.64, 3.09, 3.33, 3.57, 8.43, 4.65, 4.48, 4.49 Mg/m³